(1)
Cd2TcTe: relaxed, PBE.

Geometry as POSCAR:
```
Cd2TcTe
1.0
-5.1812 -4.7109 2.0552
-5.3597 -4.8389 -1.0581
1.7984 -3.9317 0.0585
Tc Cd Te
1 2 1
Cartesian
-6.5569 -10.1112 0.7917
-3.6269 -6.3986 0.4710
1.0541 -4.2739 0.1152
-2.1856 -3.3704 0.2639
```

(2)
Sr4CuSb3O12: relaxed, PBE.

Geometry as POSCAR:
```
Sr4CuSb3O12
1.0
7.0844 0.0000 0.0000
-2.3615 6.6792 0.0000
-2.3615 -3.3396 5.7844
Sr O Cu Sb
4 12 1 3
Cartesian
3.5422 0.0000 0.0000
-1.1807 -1.6698 2.8922
1.1807 1.6698 2.8922
-1.1807 3.3396 0.0000
-3.4912 2.4686 4.2758
1.1807 4.1745 1.4461
1.1807 -0.8349 4.3383
3.4912 4.9373 0.0000
-1.2317 0.8710 1.5085
3.4912 -2.4686 4.2758
1.2317 1.7419 0.0000
-1.1807 0.8349 4.3383
3.5422 2.5047 1.4461
-1.1807 3.3396 2.8922
1.2317 -0.8710 1.5085
3.5422 0.0000 2.8922
0.0000 0.0000 0.0000
-2.3615 1.6698 2.8922
2.3615 3.3396 0.0000
2.3615 -1.6698 2.8922
```

(3)
Tb2NdDy3Ho6: relaxed, PBE.

Geometry as POSCAR:
```
Tb2NdDy3Ho6
1.0
-1.9083 -4.7787 -3.3517
6.0070 1.1402 0.5721
-0.9734 -5.5340 10.3114
Tb Ho Dy Nd
2 6 3 1
Cartesian
3.3687 -0.8327 -0.7358
0.7301 -2.8058 -2.0438
1.0181 -7.8528 4.9815
3.6604 -5.8770 6.2914
0.2934 -5.0493 7.0247
2.1071 -1.3196 2.5503
2.8319 -4.1232 0.5071
-0.5352 -3.2955 1.2404
1.5626 -4.5862 3.7659
4.1994 -2.6145 5.0730
-1.0741 -6.5580 2.4588
0.0000 0.0000 0.0000
```

Energy relative to the elements in eV per atom: 0.02

(4)
Pr4HoSe6: relaxed, PBE.

Geometry as POSCAR:
```
Pr4HoSe6
1.0
8.3746 -0.1069 0.0374
-0.0371 8.3752 0.0374
0.1078 0.1069 8.3740
Se Ho Pr
12 2 8
Cartesian
1.5649 3.5221 3.7013
7.7576 5.7231 7.9257
3.6938 6.8397 3.5412
4.8836 3.6367 1.5712
2.7183 7.9312 7.7282
4.7515 1.5355 4.9076
6.8804 4.8531 4.7475
7.9370 0.6655 5.7582
0.6876 2.6521 0.5231
0.5083 7.7097 2.6907
3.5617 4.7385 6.8777
5.7270 0.4441 0.7206
0.0000 0.0000 0.0000
4.2226 4.1876 4.2244
1.1690 6.3348 5.3484
5.3645 7.2590 6.3366
6.2801 6.2280 2.1496
7.2763 2.0404 3.1004
3.0808 1.1162 2.1122
2.0846 5.3038 1.1614
6.3607 3.0714 7.2874
2.1652 2.1472 6.2992
```

(5)
CdBiTeC2: relaxed, PBE.

Geometry as POSCAR:
```
CdBiTeC2
1.0
-2.9746 2.0391 2.5368
-0.7572 -5.3075 3.3784
3.2118 1.2827 2.7350
Te Cd Bi C
1 1 1 2
Cartesian
-0.2600 -0.9928 4.3251
0.0000 0.0000 0.0000
-0.3786 -2.6537 1.6892
-1.4873 1.0196 1.2684
1.6059 0.6414 1.3675
```

(6)
SmNiAg: relaxed, PBE.

Geometry as POSCAR:
```
SmNiAg
1.0
3.8811 0.0000 0.0000
0.0000 3.6330 -0.8428
0.0000 0.0813 8.6027
Sm Ni Ag
2 2 2
Cartesian
2.9108 0.3851 1.6600
0.9703 3.3293 6.1000
2.9108 1.7409 7.5049
0.9703 1.9734 0.2550
2.9108 1.1055 4.7658
0.9703 2.6088 2.9941
```

Energy relative to the elements in eV per atom: -0.34

(7)
UCu2HgSe4: relaxed, PBE.

Geometry as POSCAR:
```
UCu2HgSe4
1.0
-4.3732 -5.2424 0.7145
1.7099 -5.8179 0.7514
-1.9217 -2.1570 5.3843
U Cu Se Hg
1 2 4 1
Cartesian
-2.2925 -6.6087 3.4251
-3.7170 -9.7303 4.7751
-0.8680 -3.4871 2.0750
-2.8861 -3.6219 3.3675
0.7334 -6.6797 3.0853
-3.3803 -8.4915 1.2923
-3.6371 -7.6417 5.9552
0.0000 0.0000 0.0000
```

(8)
Nd3Ni7Pd2: relaxed, PBE.

Geometry as POSCAR:
```
Nd3Ni7Pd2
1.0
-1.1710 0.0830 4.9897
-2.8809 -3.7283 2.0189
5.6482 -5.6933 4.0532
Nd Ni Pd
3 7 2
Cartesian
2.7270 -3.8242 3.3365
0.0000 0.0000 0.0000
-1.1307 -5.5144 7.7252
1.8230 -6.3610 7.1113
-0.2267 -2.9776 3.9505
-1.6620 -4.8351 4.9563
-0.8101 -2.9363 6.4364
3.2583 -4.5035 6.1055
0.7982 -4.6693 5.5309
2.4064 -6.4023 4.6254
2.9281 -8.1115 8.7209
-1.3318 -1.2271 2.3408
```

Energy relative to the elements in eV per atom: -0.39

| no. | E (eV/f.u.) |
| --- | --- |
| 1 | -13.98 |
| 2 | -122.27 |
| 3 | -55.10 |
| 4 | -63.89 |
| 5 | -15.02 |
| 6 | -14.37 |
| 7 | -36.55 |
| 8 | -69.79 |